# GaIrF2

GaIrF2 after structural relaxation (PBE, Alexandria).

The value obtained for the total magnetization is 1.81 μB/f.u. The value obtained for the formation energy without anion corrections is -2.287 eV per formula unit. The value obtained for the relative energy among the computed polymorphs is 1.50 eV per formula unit. The final energy is -53.75 eV for the cell shown. The density of states at the Fermi level is 8.06 states/eV/cell.

The structure belongs to space group R-3m (No. 166, hexagonal axes); the cell edges are 2.7182, 2.7182 and 24.7163 Å and the angles 90.00°, 90.00° and 120.00°. The distinct sites, in fractional coordinates, are Ga at (0.0000, 0.0000, 0.0000), Ir at (0.0000, 0.0000, 0.5000) and F at (0.0000, 0.0000, 0.0786).

---

# Ga3IrF

Ga3IrF after structural relaxation (PBE, Alexandria).

The value obtained for the total magnetization is 0.00 μB/f.u. The value obtained for the formation energy without anion corrections is -3.588 eV per formula unit. The value obtained for the relative energy among the computed polymorphs is 0.00 eV per formula unit. The final energy is -23.40 eV for the cell shown. The density of states at the Fermi level is 1.74 states/eV/cell.

The structure belongs to space group Pm-3m (No. 221); the cell edges are 4.780, 4.780 and 4.780 Å and the angles 90.00°, 90.00° and 90.00°. The distinct sites, in fractional coordinates, are Ga at (0.000, 0.000, 0.500), Ir at (0.000, 0.000, 0.000) and F at (0.500, 0.500, 0.500).